## A
{
  "formula": "Hf2HPb2",
  "functional": "PBE",
  "state": "relaxed",
  "volume_a3_per_atom": 20.50,
  "total_magnetization_mub_per_cell": 0.0,
  "cell": [[6.291, 0.000, 0.000], [0.000, 6.291, 0.000], [0.000, 0.000, 5.180]],
  "species": ["Hf", "Hf", "Hf", "Hf", "H", "H", "Pb", "Pb", "Pb", "Pb"],
  "frac_coords": [[0.167, 0.333, 0.000], [0.333, 0.833, 0.000], [0.667, 0.167, 0.000], [0.833, 0.667, 0.000], [0.000, 0.000, 0.000], [0.500, 0.500, 0.000], [0.173, 0.673, 0.500], [0.327, 0.173, 0.500], [0.673, 0.827, 0.500], [0.827, 0.327, 0.500]]
}

***

## B
{
  "formula": "Hf2HPb2",
  "functional": "PBE",
  "state": "relaxed",
  "volume_a3_per_atom": 26.62,
  "total_magnetization_mub_per_cell": 0.3,
  "cell": [[-2.184, 2.184, 6.973], [2.184, -2.184, 6.973], [2.184, 2.184, -6.973]],
  "species": ["Hf", "Hf", "H", "Pb", "Pb"],
  "frac_coords": [[0.100, 0.100, 0.000], [0.900, 0.900, 0.000], [0.500, 0.500, 0.000], [0.250, 0.750, 0.500], [0.750, 0.250, 0.500]]
}

***

What should be chosen as the most stable of them? Choose A.

***

## A
{
  "formula": "Hf2ZrHPb",
  "functional": "PBE",
  "state": "relaxed",
  "volume_a3_per_atom": 18.64,
  "total_magnetization_mub_per_cell": 0.0,
  "cell": [[4.278, 0.000, 0.000], [0.000, 4.278, 0.000], [0.000, 0.000, 5.092]],
  "species": ["Hf", "Hf", "Zr", "H", "Pb"],
  "frac_coords": [[0.000, 0.500, 0.000], [0.500, 0.000, 0.000], [0.000, 0.000, 0.500], [0.500, 0.500, 0.000], [0.500, 0.500, 0.500]]
}

***

## B
{
  "formula": "Hf2ZrHPb",
  "functional": "PBE",
  "state": "relaxed",
  "volume_a3_per_atom": 18.10,
  "total_magnetization_mub_per_cell": 0.0,
  "cell": [[4.532, 0.000, 0.000], [0.000, 4.532, 0.000], [0.000, 0.000, 4.406]],
  "species": ["Hf", "Hf", "Zr", "H", "Pb"],
  "frac_coords": [[0.000, 0.500, 0.000], [0.500, 0.000, 0.000], [0.000, 0.000, 0.500], [0.000, 0.000, 0.000], [0.500, 0.500, 0.500]]
}

***

What should be chosen as the most stable of them? Choose B.

***

## A
{
  "formula": "Hf3HPd",
  "functional": "PBE",
  "state": "relaxed",
  "volume_a3_per_atom": 16.34,
  "total_magnetization_mub_per_cell": 0.0,
  "cell": [[4.339, 0.000, 0.000], [0.000, 4.339, 0.000], [0.000, 0.000, 4.339]],
  "species": ["Hf", "Hf", "Hf", "H", "Pd"],
  "frac_coords": [[0.000, 0.000, 0.500], [0.000, 0.500, 0.000], [0.500, 0.000, 0.000], [0.000, 0.000, 0.000], [0.500, 0.500, 0.500]]
}

***

## B
{
  "formula": "Hf3HPd",
  "functional": "PBE",
  "state": "relaxed",
  "volume_a3_per_atom": 16.69,
  "total_magnetization_mub_per_cell": 0.0,
  "cell": [[4.215, -6.322, 0.000], [4.215, 6.322, 0.000], [0.000, 0.000, 3.131]],
  "species": ["Hf", "Hf", "Hf", "Hf", "Hf", "Hf", "H", "H", "Pd", "Pd"],
  "frac_coords": [[0.158, 0.401, 0.500], [0.223, 0.777, 0.000], [0.401, 0.158, 0.500], [0.599, 0.842, 0.500], [0.777, 0.223, 0.000], [0.842, 0.599, 0.500], [0.000, 0.500, 0.000], [0.500, 0.000, 0.000], [0.000, 0.000, 0.500], [0.500, 0.500, 0.000]]
}

***

What should be chosen as the most stable of them? Choose A.

***

## A
{
  "formula": "HfH2Pd",
  "functional": "PBE",
  "state": "relaxed",
  "volume_a3_per_atom": 10.89,
  "total_magnetization_mub_per_cell": 0.0,
  "cell": [[-2.105, 2.105, 4.914], [2.105, -2.105, 4.914], [2.105, 2.105, -4.914]],
  "species": ["Hf", "Hf", "H", "H", "H", "H", "Pd", "Pd"],
  "frac_coords": [[0.000, 0.000, 0.000], [0.750, 0.250, 0.500], [0.150, 0.625, 0.025], [0.375, 0.400, 0.525], [0.600, 0.125, 0.975], [0.875, 0.850, 0.475], [0.250, 0.750, 0.500], [0.500, 0.500, 0.000]]
}

***

## B
{
  "formula": "HfH2Pd",
  "functional": "PBE",
  "state": "relaxed",
  "volume_a3_per_atom": 10.51,
  "total_magnetization_mub_per_cell": 0.0,
  "cell": [[0.000, 2.760, 2.760], [2.760, 0.000, 2.760], [2.760, 2.760, 0.000]],
  "species": ["Hf", "H", "H", "Pd"],
  "frac_coords": [[0.000, 0.000, 0.000], [0.250, 0.250, 0.250], [0.750, 0.750, 0.750], [0.500, 0.500, 0.500]]
}

***

What should be chosen as the most stable of them? Choose A.

***

## A
{
  "formula": "HfHPdRh2",
  "functional": "PBE",
  "state": "relaxed",
  "volume_a3_per_atom": 12.96,
  "total_magnetization_mub_per_cell": 0.0,
  "cell": [[3.956, 0.000, 0.000], [0.000, 3.956, 0.000], [0.000, 0.000, 4.141]],
  "species": ["Hf", "H", "Pd", "Rh", "Rh"],
  "frac_coords": [[0.000, 0.000, 0.000], [0.000, 0.000, 0.500], [0.500, 0.500, 0.000], [0.000, 0.500, 0.500], [0.500, 0.000, 0.500]]
}

***

## B
{
  "formula": "HfHPdRh2",
  "functional": "PBE",
  "state": "relaxed",
  "volume_a3_per_atom": 12.90,
  "total_magnetization_mub_per_cell": 0.0,
  "cell": [[4.039, 0.000, 0.000], [0.000, 4.039, 0.000], [0.000, 0.000, 3.954]],
  "species": ["Hf", "H", "Pd", "Rh", "Rh"],
  "frac_coords": [[0.000, 0.000, 0.000], [0.500, 0.500, 0.500], [0.500, 0.500, 0.000], [0.000, 0.500, 0.500], [0.500, 0.000, 0.500]]
}

***

What should be chosen as the most stable of them? Choose B.

***

## A
{
  "formula": "HfHPdRu2",
  "functional": "PBE",
  "state": "relaxed",
  "volume_a3_per_atom": 12.90,
  "total_magnetization_mub_per_cell": 0.0,
  "cell": [[3.944, 0.000, 0.000], [0.000, 3.944, 0.000], [0.000, 0.000, 4.147]],
  "species": ["Hf", "H", "Pd", "Ru", "Ru"],
  "frac_coords": [[0.000, 0.000, 0.000], [0.000, 0.000, 0.500], [0.500, 0.500, 0.000], [0.000, 0.500, 0.500], [0.500, 0.000, 0.500]]
}

***

## B
{
  "formula": "HfHPdRu2",
  "functional": "PBE",
  "state": "relaxed",
  "volume_a3_per_atom": 12.86,
  "total_magnetization_mub_per_cell": 0.0,
  "cell": [[4.017, 0.000, 0.000], [0.000, 4.017, 0.000], [0.000, 0.000, 3.984]],
  "species": ["Hf", "H", "Pd", "Ru", "Ru"],
  "frac_coords": [[0.000, 0.000, 0.000], [0.500, 0.500, 0.500], [0.500, 0.500, 0.000], [0.000, 0.500, 0.500], [0.500, 0.000, 0.500]]
}

***

What should be chosen as the most stable of them? Choose B.

***

## A
{
  "formula": "Hf3H3Pt",
  "functional": "PBE",
  "state": "relaxed",
  "volume_a3_per_atom": 13.61,
  "total_magnetization_mub_per_cell": 0.0,
  "cell": [[2.882, 1.664, 6.624], [-2.882, 1.664, 6.624], [0.000, -3.328, 6.624]],
  "species": ["Hf", "Hf", "Hf", "Hf", "Hf", "Hf", "H", "H", "H", "H", "H", "H", "Pt", "Pt"],
  "frac_coords": [[0.098, 0.769, 0.421], [0.231, 0.579, 0.902], [0.421, 0.098, 0.769], [0.579, 0.902, 0.231], [0.769, 0.421, 0.098], [0.902, 0.231, 0.579], [0.133, 0.476, 0.797], [0.203, 0.867, 0.524], [0.476, 0.797, 0.133], [0.524, 0.203, 0.867], [0.797, 0.133, 0.476], [0.867, 0.524, 0.203], [0.333, 0.333, 0.333], [0.667, 0.667, 0.667]]
}

***

## B
{
  "formula": "Hf3H3Pt",
  "functional": "PBE",
  "state": "relaxed",
  "volume_a3_per_atom": 12.39,
  "total_magnetization_mub_per_cell": 0.0,
  "cell": [[5.577, 0.000, 0.000], [0.000, 5.577, 0.000], [0.000, 0.000, 5.577]],
  "species": ["Hf", "Hf", "Hf", "Hf", "Hf", "Hf", "H", "H", "H", "H", "H", "H", "Pt", "Pt"],
  "frac_coords": [[0.000, 0.250, 0.500], [0.000, 0.750, 0.500], [0.250, 0.500, 0.000], [0.500, 0.000, 0.250], [0.500, 0.000, 0.750], [0.750, 0.500, 0.000], [0.000, 0.500, 0.250], [0.000, 0.500, 0.750], [0.250, 0.000, 0.500], [0.500, 0.250, 0.000], [0.500, 0.750, 0.000], [0.750, 0.000, 0.500], [0.000, 0.000, 0.000], [0.500, 0.500, 0.500]]
}

***

What should be chosen as the most stable of them? Choose B.

***

## A
{
  "formula": "HfHPt2",
  "functional": "PBE",
  "state": "relaxed",
  "volume_a3_per_atom": 14.42,
  "total_magnetization_mub_per_cell": 0.0,
  "cell": [[1.466, 0.846, 7.749], [-1.466, 0.846, 7.749], [0.000, -1.693, 7.749]],
  "species": ["Hf", "H", "Pt", "Pt"],
  "frac_coords": [[0.000, 0.000, 0.000], [0.500, 0.500, 0.500], [0.111, 0.111, 0.111], [0.889, 0.889, 0.889]]
}

***

## B
{
  "formula": "HfHPt2",
  "functional": "PBE",
  "state": "relaxed",
  "volume_a3_per_atom": 14.66,
  "total_magnetization_mub_per_cell": 0.0,
  "cell": [[-2.913, 2.913, 3.457], [2.913, -2.913, 3.457], [2.913, 2.913, -3.457]],
  "species": ["Hf", "Hf", "H", "H", "Pt", "Pt", "Pt", "Pt"],
  "frac_coords": [[0.000, 0.000, 0.000], [0.750, 0.250, 0.500], [0.250, 0.750, 0.500], [0.500, 0.500, 0.000], [0.242, 0.125, 0.617], [0.375, 0.758, 0.883], [0.508, 0.625, 0.383], [0.875, 0.492, 0.117]]
}

***

## C
{
  "formula": "HfHPt2",
  "functional": "PBE",
  "state": "relaxed",
  "volume_a3_per_atom": 15.30,
  "total_magnetization_mub_per_cell": 0.0,
  "cell": [[0.000, 3.128, 3.128], [3.128, 0.000, 3.128], [3.128, 3.128, 0.000]],
  "species": ["Hf", "H", "Pt", "Pt"],
  "frac_coords": [[0.000, 0.000, 0.000], [0.500, 0.500, 0.500], [0.250, 0.250, 0.250], [0.750, 0.750, 0.750]]
}

***

What should be chosen as the most stable of them? Choose B.

***

## A
{
  "formula": "Hf2H2Pt",
  "functional": "PBE",
  "state": "relaxed",
  "volume_a3_per_atom": 12.61,
  "total_magnetization_mub_per_cell": 0.0,
  "cell": [[-1.610, 1.610, 6.076], [1.610, -1.610, 6.076], [1.610, 1.610, -6.076]],
  "species": ["Hf", "Hf", "H", "H", "Pt"],
  "frac_coords": [[0.141, 0.141, 0.000], [0.859, 0.859, 0.000], [0.250, 0.750, 0.500], [0.750, 0.250, 0.500], [0.500, 0.500, 0.000]]
}

***

## B
{
  "formula": "Hf2H2Pt",
  "functional": "PBE",
  "state": "relaxed",
  "volume_a3_per_atom": 12.54,
  "total_magnetization_mub_per_cell": 0.0,
  "cell": [[2.899, -4.460, 0.000], [2.899, 4.460, 0.000], [-2.528, 0.000, 4.848]],
  "species": ["Hf", "Hf", "Hf", "Hf", "H", "H", "H", "H", "Pt", "Pt"],
  "frac_coords": [[0.081, 0.919, 0.750], [0.290, 0.710, 0.250], [0.710, 0.290, 0.750], [0.919, 0.081, 0.250], [0.027, 0.247, 0.982], [0.247, 0.027, 0.482], [0.753, 0.973, 0.518], [0.973, 0.753, 0.018], [0.392, 0.608, 0.750], [0.608, 0.392, 0.250]]
}

***

What should be chosen as the most stable of them? Choose A.

***

## A
{
  "formula": "Hf3HPt",
  "functional": "PBE",
  "state": "relaxed",
  "volume_a3_per_atom": 16.13,
  "total_magnetization_mub_per_cell": 0.0,
  "cell": [[4.321, 0.000, 0.000], [0.000, 4.321, 0.000], [0.000, 0.000, 4.321]],
  "species": ["Hf", "Hf", "Hf", "H", "Pt"],
  "frac_coords": [[0.000, 0.000, 0.500], [0.000, 0.500, 0.000], [0.500, 0.000, 0.000], [0.000, 0.000, 0.000], [0.500, 0.500, 0.500]]
}

***

## B
{
  "formula": "Hf3HPt",
  "functional": "PBE",
  "state": "relaxed",
  "volume_a3_per_atom": 17.92,
  "total_magnetization_mub_per_cell": 0.0,
  "cell": [[3.252, 0.000, 0.000], [0.000, 7.721, 0.000], [-1.621, -2.560, 7.140]],
  "species": ["Hf", "Hf", "Hf", "Hf", "Hf", "Hf", "H", "H", "Pt", "Pt"],
  "frac_coords": [[0.025, 0.208, 0.048], [0.142, 0.649, 0.285], [0.348, 0.981, 0.693], [0.652, 0.019, 0.307], [0.858, 0.351, 0.715], [0.975, 0.792, 0.952], [0.204, 0.921, 0.409], [0.796, 0.079, 0.591], [0.328, 0.611, 0.655], [0.672, 0.389, 0.345]]
}

***

What should be chosen as the most stable of them? Choose A.

***

## A
{
  "formula": "HfHPt2Rh",
  "functional": "PBE",
  "state": "relaxed",
  "volume_a3_per_atom": 13.41,
  "total_magnetization_mub_per_cell": 0.0,
  "cell": [[3.941, 0.000, 0.000], [0.000, 3.941, 0.000], [0.000, 0.000, 4.317]],
  "species": ["Hf", "H", "Pt", "Pt", "Rh"],
  "frac_coords": [[0.000, 0.000, 0.000], [0.000, 0.000, 0.500], [0.000, 0.500, 0.500], [0.500, 0.000, 0.500], [0.500, 0.500, 0.000]]
}

***

## B
{
  "formula": "HfHPt2Rh",
  "functional": "PBE",
  "state": "relaxed",
  "volume_a3_per_atom": 22.81,
  "total_magnetization_mub_per_cell": 1.5,
  "cell": [[4.914, 0.000, 0.000], [0.000, 4.914, 0.000], [0.000, 0.000, 4.722]],
  "species": ["Hf", "H", "Pt", "Pt", "Rh"],
  "frac_coords": [[0.000, 0.000, 0.000], [0.500, 0.500, 0.000], [0.000, 0.500, 0.500], [0.500, 0.000, 0.500], [0.000, 0.000, 0.500]]
}

***

## C
{
  "formula": "HfHPt2Rh",
  "functional": "PBE",
  "state": "relaxed",
  "volume_a3_per_atom": 15.76,
  "total_magnetization_mub_per_cell": 0.0,
  "cell": [[5.051, 0.000, 0.000], [0.000, 5.051, 0.000], [0.000, 0.000, 3.088]],
  "species": ["Hf", "H", "Pt", "Pt", "Rh"],
  "frac_coords": [[0.000, 0.000, 0.000], [0.500, 0.500, 0.000], [0.000, 0.500, 0.500], [0.500, 0.000, 0.500], [0.500, 0.500, 0.500]]
}

***

## D
{
  "formula": "HfHPt2Rh",
  "functional": "PBE",
  "state": "relaxed",
  "volume_a3_per_atom": 13.34,
  "total_magnetization_mub_per_cell": 0.0,
  "cell": [[4.020, 0.000, 0.000], [0.000, 4.020, 0.000], [0.000, 0.000, 4.129]],
  "species": ["Hf", "H", "Pt", "Pt", "Rh"],
  "frac_coords": [[0.000, 0.000, 0.000], [0.500, 0.500, 0.500], [0.000, 0.500, 0.500], [0.500, 0.000, 0.500], [0.500, 0.500, 0.000]]
}

***

What should be chosen as the most stable of them? Choose D.

***

## A
{
  "formula": "HfHPtRh2",
  "functional": "PBE",
  "state": "relaxed",
  "volume_a3_per_atom": 13.00,
  "total_magnetization_mub_per_cell": 0.0,
  "cell": [[3.960, 0.000, 0.000], [0.000, 3.960, 0.000], [0.000, 0.000, 4.145]],
  "species": ["Hf", "H", "Pt", "Rh", "Rh"],
  "frac_coords": [[0.000, 0.000, 0.000], [0.000, 0.000, 0.500], [0.500, 0.500, 0.000], [0.000, 0.500, 0.500], [0.500, 0.000, 0.500]]
}

***

## B
{
  "formula": "HfHPtRh2",
  "functional": "PBE",
  "state": "relaxed",
  "volume_a3_per_atom": 12.99,
  "total_magnetization_mub_per_cell": 0.0,
  "cell": [[4.047, 0.000, 0.000], [0.000, 4.047, 0.000], [0.000, 0.000, 3.967]],
  "species": ["Hf", "H", "Pt", "Rh", "Rh"],
  "frac_coords": [[0.000, 0.000, 0.000], [0.500, 0.500, 0.500], [0.500, 0.500, 0.000], [0.000, 0.500, 0.500], [0.500, 0.000, 0.500]]
}

***

What should be chosen as the most stable of them? Choose B.